A geometry-optimized Rb2TiCrO4 structure. Source: Alexandria, functional PBE with a Hubbard U.

Cell lengths 11.9203, 10.4759, 6.8549 Å; angles 84.15, 60.96, 34.89 degrees
Fractional positions:
Rb  0.0540  0.0540  0.6960
Rb  0.3040  0.3040  0.9460
Rb  0.6960  0.6960  0.0540
Rb  0.9460  0.9460  0.3040
Ti  0.3750  0.3750  0.3750
Ti  0.6250  0.6250  0.6250
Cr  0.1250  0.1250  0.1250
Cr  0.8750  0.8750  0.8750
O  0.0197  0.6488  0.5522
O  0.2792  0.5522  0.6488
O  0.3512  0.9803  0.7208
O  0.4478  0.7208  0.9803
O  0.5522  0.2792  0.0197
O  0.6488  0.0197  0.2792
O  0.7208  0.4478  0.3512
O  0.9803  0.3512  0.4478

Properties
**Total moment**: 4.0 μB per formula unit
**Electronic total energy**: -106.336 eV for the cell shown